[1]
Here is crystalline PBrCl at its relaxed geometry from Alexandria via LeMat-Bulk. Energies are from PBE-GGA.

The value obtained for the uncorrected formation energy is -1.3 eV per formula unit. The calculation puts the distance to the lowest polymorph of the same formula at 0.01 eV per formula unit.

The space group is P-1 (No. 2) and the conventional cell measures 5.894, 6.664 and 7.016 Å, with angles of 104.50, 103.81 and 102.86 degrees. The distinct sites, in fractional coordinates, are P at (0.023, 0.067, 0.370), Br at (0.130, 0.262, 0.877) and Cl at (0.281, 0.822, 0.656).

=====

[2]
Here is crystalline PBr3Cl at its relaxed geometry from Alexandria via LeMat-Bulk. Energies are from PBE-GGA.

The value obtained for the uncorrected formation energy is -1.5 eV per formula unit. The calculation puts the distance to the lowest polymorph of the same formula at 0.04 eV per formula unit.

The space group is P1 (No. 1) and the conventional cell measures 6.525, 7.142 and 9.934 Å, with angles of 90.05, 90.29 and 90.04 degrees. The distinct sites, in fractional coordinates, are P at (0.000, 0.000, 0.000), P at (0.400, 0.500, 0.501), Br at (0.405, 0.175, 0.499), Br at (0.518, 0.637, 0.697), Br at (0.524, 0.641, 0.308), Br at (0.874, 0.144, 0.191), Br at (0.885, 0.134, 0.802), Br at (0.995, 0.675, 0.003), Cl at (0.095, 0.565, 0.498) and Cl at (0.305, 0.065, 0.004).

=====

[3]
Here is crystalline PBrCl2 at its relaxed geometry from Alexandria via LeMat-Bulk. Energies are from PBE-GGA.

The value obtained for the uncorrected formation energy is 1.0 eV per formula unit. The calculation puts the distance to the lowest polymorph of the same formula at 2.71 eV per formula unit.

The space group is Cmm2 (No. 35) and the conventional cell measures 3.458, 9.877 and 9.161 Å, with angles of 90.00, 90.00 and 90.00 degrees. The distinct sites, in fractional coordinates, are P at (0.000, 0.000, 0.000), Br at (0.000, 0.500, 0.806), Cl at (0.000, 0.000, 0.504) and Cl at (0.000, 0.500, 0.177).

=====

The following energy values (in eV per atom) correspond, in order, to the records above: -3.418; -2.758; -2.436.